DFT (PBEsol) results for In2HgMo after structural relaxation.

Electronic total energy: -16.83 eV for the cell shown
Crystal system: tetragonal
ΔE_f: 0.366 eV/atom

abc: 2.955 2.955 9.333
angles: 90.00 90.00 90.00
Sites, in units of the cell vectors:
In 0.000 0.000 0.000
In 0.500 0.500 0.289
Hg 0.500 0.500 0.731
Mo 0.000 0.000 0.511